# LiZrAg3, relaxed, DFT PBE
# DOS(E_F)	0.779	states/eV per atom
# DFT formation energy	0.903	eV per atom
# size of the total moment	0.669	μB/f.u.
# polymorph energy (0 for the lowest one)	0.587	eV/atom
data_LiZrAg3
_symmetry_space_group_name_H-M 'P m -3 m'
_symmetry_Int_Tables_number 221
_symmetry_space_group_name_Hall '-P 4 2 3'
_cell_length_a 5.353
_cell_length_b 5.353
_cell_length_c 5.353
_cell_angle_alpha 90.00
_cell_angle_beta 90.00
_cell_angle_gamma 90.00
loop_
_atom_site_label
_atom_site_fract_x
_atom_site_fract_y
_atom_site_fract_z
_atom_site_occupancy
Li1 0.000 0.000 0.000 1
Zr1 0.500 0.500 0.500 1
Ag1 0.000 0.500 0.500 1

---

# Tb2DyTc, relaxed, DFT PBE
# DOS(E_F)	0.837	states/eV per atom
# DFT formation energy	-0.090	eV per atom
# size of the total moment	0.000	μB/f.u.
# polymorph energy (0 for the lowest one)	0.001	eV/atom
data_Tb2DyTc
_symmetry_space_group_name_H-M 'C m c m'
_symmetry_Int_Tables_number 63
_symmetry_space_group_name_Hall '-C 2c 2'
_cell_length_a 3.916
_cell_length_b 11.923
_cell_length_c 9.207
_cell_angle_alpha 90.00
_cell_angle_beta 90.00
_cell_angle_gamma 90.00
loop_
_atom_site_label
_atom_site_fract_x
_atom_site_fract_y
_atom_site_fract_z
_atom_site_occupancy
Tb1 0.000 0.144 0.067 1
Dy1 0.000 0.426 0.250 1
Tc1 0.000 0.239 0.750 1

---

# BaMn2Se4, relaxed, DFT PBE
# DOS(E_F)	0.426	states/eV per atom
# size of the total moment	8.001	μB/f.u.
# raw formation energy	-5.71	eV/f.u.
data_BaMn2Se4
_symmetry_space_group_name_H-M 'C m c m'
_symmetry_Int_Tables_number 63
_symmetry_space_group_name_Hall '-C 2c 2'
_cell_length_a 4.039
_cell_length_b 12.659
_cell_length_c 13.204
_cell_angle_alpha 90.00
_cell_angle_beta 90.00
_cell_angle_gamma 90.00
loop_
_atom_site_label
_atom_site_fract_x
_atom_site_fract_y
_atom_site_fract_z
_atom_site_occupancy
Ba1 0.000 0.107 0.250 1
Mn1 0.000 0.363 0.065 1
Se1 0.000 0.000 0.000 1
Se2 0.000 0.264 0.600 1
Se3 0.000 0.413 0.250 1

---

# Pm4GdTh, relaxed, DFT PBE
# DOS(E_F)	2.295	states/eV per atom
# DFT formation energy	0.304	eV per atom
# size of the total moment	9.184	μB/f.u.
data_Pm4GdTh
_symmetry_space_group_name_H-M 'F -4 3 m'
_symmetry_Int_Tables_number 216
_symmetry_space_group_name_Hall 'F -4 2 3'
_cell_length_a 9.373
_cell_length_b 9.373
_cell_length_c 9.373
_cell_angle_alpha 90.00
_cell_angle_beta 90.00
_cell_angle_gamma 90.00
loop_
_atom_site_label
_atom_site_fract_x
_atom_site_fract_y
_atom_site_fract_z
_atom_site_occupancy
Pm1 0.124 0.124 0.376 1
Gd1 0.000 0.000 0.000 1
Th1 0.250 0.250 0.750 1